# 1
# PBE Ba5Na5Sr, optimized geometry
# * calculated volume: 54.28 A^3/atom
# * excess energy over the best structure of this formula in the dataset: 62 meV per atom
# * ΔE_f: 85 meV/atom
# * total energy: -1.542 eV per atom
# * space-group type: C2/m
data_Ba5Na5Sr
_chemical_formula_sum 'Ba5 Na5 Sr1'
_symmetry_space_group_name_H-M 'P 1'
_symmetry_Int_Tables_number 1
_cell_length_a 6.548
_cell_length_b 10.571
_cell_length_c 9.072
_cell_angle_alpha 90.03
_cell_angle_beta 90.00
_cell_angle_gamma 108.04
loop_
_symmetry_equiv_pos_as_xyz
'x,y,z'
loop_
_atom_site_label
_atom_site_fract_x
_atom_site_fract_y
_atom_site_fract_z
Ba1 0.637 0.274 0.257
Ba2 0.637 0.274 0.742
Ba3 0.000 0.000 0.500
Ba4 0.363 0.726 0.258
Ba5 0.363 0.726 0.743
Na1 0.806 0.612 0.000
Na2 0.803 0.605 0.500
Na3 0.500 0.000 0.000
Na4 0.197 0.395 0.500
Na5 0.194 0.388 0.000
Sr1 0.000 0.000 0.000

# 2
# PBE Ba4NaSr, optimized geometry
# * calculated volume: 58.89 A^3/atom
# * excess energy over the best structure of this formula in the dataset: 0 meV per atom
# * ΔE_f: 18 meV/atom
# * total energy: -1.764 eV per atom
# * space-group type: P4/mmm
data_Ba4NaSr
_chemical_formula_sum 'Ba4 Na1 Sr1'
_symmetry_space_group_name_H-M 'P 1'
_symmetry_Int_Tables_number 1
_cell_length_a 4.539
_cell_length_b 4.539
_cell_length_c 17.149
_cell_angle_alpha 90.00
_cell_angle_beta 90.00
_cell_angle_gamma 90.00
loop_
_symmetry_equiv_pos_as_xyz
'x,y,z'
loop_
_atom_site_label
_atom_site_fract_x
_atom_site_fract_y
_atom_site_fract_z
Ba1 0.500 0.500 0.857
Ba2 0.500 0.500 0.143
Ba3 0.000 0.000 0.670
Ba4 0.000 0.000 0.330
Na1 0.000 0.000 0.000
Sr1 0.500 0.500 0.500

# 3
# PBE BaNa4Sr, optimized geometry
# * calculated volume: 44.26 A^3/atom
# * ΔE_f: 5 meV/atom
# * total energy: -1.475 eV per atom
# * space-group type: F-43m
data_BaNa4Sr
_chemical_formula_sum 'Ba1 Na4 Sr1'
_symmetry_space_group_name_H-M 'P 1'
_symmetry_Int_Tables_number 1
_cell_length_a 7.215
_cell_length_b 7.215
_cell_length_c 7.215
_cell_angle_alpha 60.00
_cell_angle_beta 60.00
_cell_angle_gamma 60.00
loop_
_symmetry_equiv_pos_as_xyz
'x,y,z'
loop_
_atom_site_label
_atom_site_fract_x
_atom_site_fract_y
_atom_site_fract_z
Sr1 0.000 0.000 0.000
Ba1 0.250 0.250 0.250
Na1 0.626 0.626 0.123
Na2 0.626 0.123 0.626
Na3 0.626 0.626 0.626
Na4 0.123 0.626 0.626

# 4
# PBE Ba12Na6Sr, optimized geometry
# * calculated volume: 57.28 A^3/atom
# * ΔE_f: 37 meV/atom
# * total energy: -1.682 eV per atom
# * space-group type: Im-3
data_Ba12Na6Sr
_chemical_formula_sum 'Ba12 Na6 Sr1'
_symmetry_space_group_name_H-M 'P 1'
_symmetry_Int_Tables_number 1
_cell_length_a 11.224
_cell_length_b 11.224
_cell_length_c 11.224
_cell_angle_alpha 109.47
_cell_angle_beta 109.47
_cell_angle_gamma 109.47
loop_
_symmetry_equiv_pos_as_xyz
'x,y,z'
loop_
_atom_site_label
_atom_site_fract_x
_atom_site_fract_y
_atom_site_fract_z
Ba1 0.279 0.085 0.806
Ba2 0.279 0.473 0.194
Ba3 0.721 0.527 0.806
Ba4 0.721 0.915 0.194
Ba5 0.085 0.806 0.279
Ba6 0.473 0.194 0.279
Ba7 0.527 0.806 0.721
Ba8 0.915 0.194 0.721
Ba9 0.806 0.279 0.085
Ba10 0.194 0.279 0.473
Ba11 0.806 0.721 0.527
Ba12 0.194 0.721 0.915
Na1 0.377 0.500 0.877
Na2 0.623 0.500 0.123
Na3 0.500 0.877 0.377
Na4 0.500 0.123 0.623
Na5 0.877 0.377 0.500
Na6 0.123 0.623 0.500
Sr1 0.000 0.000 0.000

# 5
# PBE Ba2Na3Sr, optimized geometry
# * calculated volume: 49.25 A^3/atom
# * excess energy over the best structure of this formula in the dataset: 8 meV per atom
# * ΔE_f: 23 meV/atom
# * total energy: -1.558 eV per atom
# * space-group type: P-3m1
data_Ba2Na3Sr
_chemical_formula_sum 'Ba4 Na6 Sr2'
_symmetry_space_group_name_H-M 'P 1'
_symmetry_Int_Tables_number 1
_cell_length_a 7.491
_cell_length_b 7.491
_cell_length_c 12.164
_cell_angle_alpha 90.00
_cell_angle_beta 90.00
_cell_angle_gamma 120.00
loop_
_symmetry_equiv_pos_as_xyz
'x,y,z'
loop_
_atom_site_label
_atom_site_fract_x
_atom_site_fract_y
_atom_site_fract_z
Ba1 0.000 0.000 0.000
Ba2 0.667 0.333 0.431
Ba3 0.000 0.000 0.500
Ba4 0.333 0.667 0.569
Na1 0.180 0.361 0.248
Na2 0.639 0.820 0.248
Na3 0.180 0.820 0.248
Na4 0.820 0.639 0.752
Na5 0.820 0.180 0.752
Na6 0.361 0.180 0.752
Sr1 0.333 0.667 0.940
Sr2 0.667 0.333 0.060

# 6
# PBE BaNa3Sr6, optimized geometry
# * calculated volume: 51.64 A^3/atom
# * ΔE_f: 48 meV/atom
# * total energy: -1.549 eV per atom
# * space-group type: P2_1/m
data_BaNa3Sr6
_chemical_formula_sum 'Ba2 Na6 Sr12'
_symmetry_space_group_name_H-M 'P 1'
_symmetry_Int_Tables_number 1
_cell_length_a 4.183
_cell_length_b 17.245
_cell_length_c 14.426
_cell_angle_alpha 96.98
_cell_angle_beta 90.00
_cell_angle_gamma 90.00
loop_
_symmetry_equiv_pos_as_xyz
'x,y,z'
loop_
_atom_site_label
_atom_site_fract_x
_atom_site_fract_y
_atom_site_fract_z
Ba1 0.750 0.058 0.756
Ba2 0.250 0.942 0.244
Na1 0.750 0.424 0.892
Na2 0.250 0.576 0.108
Na3 0.750 0.676 0.563
Na4 0.250 0.324 0.437
Na5 0.750 0.065 0.052
Na6 0.250 0.935 0.948
Sr1 0.750 0.465 0.619
Sr2 0.250 0.535 0.381
Sr3 0.750 0.765 0.037
Sr4 0.250 0.235 0.963
Sr5 0.750 0.384 0.177
Sr6 0.250 0.616 0.823
Sr7 0.750 0.733 0.312
Sr8 0.250 0.267 0.688
Sr9 0.750 0.109 0.469
Sr10 0.250 0.891 0.531
Sr11 0.750 0.818 0.766
Sr12 0.250 0.182 0.234

# 7
# PBE Ba5Na2Sr, optimized geometry
# * calculated volume: 57.77 A^3/atom
# * excess energy over the best structure of this formula in the dataset: 4 meV per atom
# * ΔE_f: 49 meV/atom
# * total energy: -1.693 eV per atom
# * space-group type: Pbam
data_Ba5Na2Sr
_chemical_formula_sum 'Ba10 Na4 Sr2'
_symmetry_space_group_name_H-M 'P 1'
_symmetry_Int_Tables_number 1
_cell_length_a 6.040
_cell_length_b 8.751
_cell_length_c 17.488
_cell_angle_alpha 90.00
_cell_angle_beta 90.00
_cell_angle_gamma 90.00
loop_
_symmetry_equiv_pos_as_xyz
'x,y,z'
loop_
_atom_site_label
_atom_site_fract_x
_atom_site_fract_y
_atom_site_fract_z
Ba1 0.000 0.000 0.000
Ba2 0.000 0.500 0.500
Ba3 0.000 0.531 0.754
Ba4 0.000 0.469 0.246
Ba5 0.000 0.969 0.254
Ba6 0.000 0.031 0.746
Ba7 0.500 0.270 0.879
Ba8 0.500 0.730 0.121
Ba9 0.500 0.230 0.379
Ba10 0.500 0.770 0.621
Na1 0.500 0.268 0.626
Na2 0.500 0.732 0.374
Na3 0.500 0.232 0.126
Na4 0.500 0.768 0.874
Sr1 0.000 0.000 0.500
Sr2 0.000 0.500 0.000

# 8
# PBE Ba12Na2Sr5, optimized geometry
# * calculated volume: 60.30 A^3/atom
# * ΔE_f: 48 meV/atom
# * total energy: -1.748 eV per atom
# * space-group type: C2/m
data_Ba12Na2Sr5
_chemical_formula_sum 'Ba12 Na2 Sr5'
_symmetry_space_group_name_H-M 'P 1'
_symmetry_Int_Tables_number 1
_cell_length_a 6.782
_cell_length_b 14.662
_cell_length_c 14.662
_cell_angle_alpha 54.49
_cell_angle_beta 76.59
_cell_angle_gamma 76.59
loop_
_symmetry_equiv_pos_as_xyz
'x,y,z'
loop_
_atom_site_label
_atom_site_fract_x
_atom_site_fract_y
_atom_site_fract_z
Ba1 0.097 0.903 0.903
Ba2 0.201 0.543 0.054
Ba3 0.201 0.054 0.543
Ba4 0.592 0.643 0.173
Ba5 0.592 0.173 0.643
Ba6 0.089 0.411 0.411
Ba7 0.911 0.589 0.589
Ba8 0.408 0.357 0.827
Ba9 0.408 0.827 0.357
Ba10 0.799 0.457 0.946
Ba11 0.799 0.946 0.457
Ba12 0.903 0.097 0.097
Na1 0.000 0.234 0.766
Na2 0.000 0.766 0.234
Sr1 0.306 0.194 0.194
Sr2 0.706 0.294 0.294
Sr3 0.500 0.000 0.000
Sr4 0.294 0.706 0.706
Sr5 0.694 0.806 0.806

# 9
# PBE BaNa6Sr12, optimized geometry
# * calculated volume: 50.40 A^3/atom
# * excess energy over the best structure of this formula in the dataset: 0 meV per atom
# * ΔE_f: 52 meV/atom
# * total energy: -1.528 eV per atom
# * space-group type: Im-3
data_BaNa6Sr12
_chemical_formula_sum 'Ba1 Na6 Sr12'
_symmetry_space_group_name_H-M 'P 1'
_symmetry_Int_Tables_number 1
_cell_length_a 10.755
_cell_length_b 10.755
_cell_length_c 10.755
_cell_angle_alpha 109.47
_cell_angle_beta 109.47
_cell_angle_gamma 109.47
loop_
_symmetry_equiv_pos_as_xyz
'x,y,z'
loop_
_atom_site_label
_atom_site_fract_x
_atom_site_fract_y
_atom_site_fract_z
Ba1 0.000 0.000 0.000
Na1 0.374 0.500 0.874
Na2 0.626 0.500 0.126
Na3 0.500 0.874 0.374
Na4 0.500 0.126 0.626
Na5 0.874 0.374 0.500
Na6 0.126 0.626 0.500
Sr1 0.277 0.083 0.806
Sr2 0.277 0.470 0.194
Sr3 0.723 0.530 0.806
Sr4 0.723 0.917 0.194
Sr5 0.083 0.806 0.277
Sr6 0.470 0.194 0.277
Sr7 0.530 0.806 0.723
Sr8 0.917 0.194 0.723
Sr9 0.806 0.277 0.083
Sr10 0.194 0.277 0.470
Sr11 0.806 0.723 0.530
Sr12 0.194 0.723 0.917

# 10
# PBE BaNa4Sr7, optimized geometry
# * calculated volume: 50.98 A^3/atom
# * ΔE_f: 42 meV/atom
# * total energy: -1.539 eV per atom
# * space-group type: P-1
data_BaNa4Sr7
_chemical_formula_sum 'Ba1 Na4 Sr7'
_symmetry_space_group_name_H-M 'P 1'
_symmetry_Int_Tables_number 1
_cell_length_a 9.739
_cell_length_b 6.424
_cell_length_c 10.292
_cell_angle_alpha 108.12
_cell_angle_beta 88.50
_cell_angle_gamma 90.00
loop_
_symmetry_equiv_pos_as_xyz
'x,y,z'
loop_
_atom_site_label
_atom_site_fract_x
_atom_site_fract_y
_atom_site_fract_z
Ba1 0.000 0.000 0.000
Na1 0.474 0.653 0.310
Na2 0.526 0.347 0.690
Na3 0.731 0.827 0.653
Na4 0.269 0.173 0.347
Sr1 0.741 0.510 0.021
Sr2 0.259 0.490 0.979
Sr3 0.990 0.330 0.659
Sr4 0.010 0.670 0.341
Sr5 0.284 0.829 0.657
Sr6 0.500 0.000 0.000
Sr7 0.716 0.171 0.343